The following is a GGA-PBE calculation of CrIn3Ge after structural relaxation, from Alexandria.

Computed properties:
polymorph energy (0 for the lowest one) = 137 meV per atom
energy relative to the elements = 3.94 eV/f.u.

Cell: 5.347 5.347 5.347 Å, 90.00 90.00 90.00°
Space group Pm-3m (No. 221)
Inequivalent atoms, fractional coordinates:
Cr (0.000, 0.000, 0.000)
In (0.000, 0.500, 0.500)
Ge (0.500, 0.500, 0.500)



The following is a GGA-PBE calculation of Cr3InGe after structural relaxation, from Alexandria.

Computed properties:
polymorph energy (0 for the lowest one) = 756 meV per atom
energy relative to the elements = 7.83 eV/f.u.

Cell: 5.052 5.052 5.052 Å, 90.00 90.00 90.00°
Space group Pm-3m (No. 221)
Inequivalent atoms, fractional coordinates:
Cr (0.000, 0.000, 0.500)
In (0.000, 0.000, 0.000)
Ge (0.500, 0.500, 0.500)



The following is a GGA-PBE calculation of Cr2InGe2 after structural relaxation, from Alexandria.

Computed properties:
polymorph energy (0 for the lowest one) = 0 meV per atom
energy relative to the elements = 1.24 eV/f.u.

Cell: 7.000 7.000 3.177 Å, 90.00 90.00 90.00°
Space group P4/mbm (No. 127)
Inequivalent atoms, fractional coordinates:
Cr (0.140, 0.360, 0.000)
In (0.000, 0.000, 0.000)
Ge (0.150, 0.650, 0.500)



The following is a GGA-PBE calculation of Cr2InGe after structural relaxation, from Alexandria.

Computed properties:
energy relative to the elements = 2.77 eV/f.u.

Cell: 4.240 4.240 18.109 Å, 90.00 90.00 90.00°
Space group I-42d (No. 122)
Inequivalent atoms, fractional coordinates:
Cr (0.226, 0.250, 0.125)
In (0.000, 0.000, 0.500)
Ge (0.000, 0.000, 0.000)



Among the records above, which one has the lowest energy relative to the elements? Cr2InGe2



Among the records above, which one has the highest energy relative to the elements? Cr3InGe